(1)
Below is an optimized crystal structure of HoGa2CuPt, with properties calculated at the PBE level.

Results
Magnetization   0.01 μB per formula unit

a = 4.103 Å, b = 4.103 Å, c = 10.695 Å
α = 90.00°, β = 90.00°, γ = 90.00°
Fractional positions:
Cu  0.000  0.000  0.000
Cu  0.500  0.500  0.000
Ga  0.500  0.000  0.124
Ga  0.000  0.000  0.500
Ga  0.500  0.500  0.500
Ga  0.000  0.500  0.876
Ho  0.000  0.500  0.246
Ho  0.500  0.000  0.754
Pt  0.500  0.000  0.356
Pt  0.000  0.500  0.644



(2)
Below is an optimized crystal structure of HoScGa2Cu4, with properties calculated at the PBE level.

Results
Magnetization   0.00 μB per formula unit

a = 4.245 Å, b = 4.245 Å, c = 8.239 Å
α = 90.00°, β = 90.00°, γ = 120.00°
Fractional positions:
Cu  0.667  0.333  0.172
Cu  0.000  0.000  0.341
Cu  0.000  0.000  0.659
Cu  0.667  0.333  0.828
Ga  0.333  0.667  0.278
Ga  0.333  0.667  0.722
Ho  0.000  0.000  0.000
Sc  0.667  0.333  0.500



(3)
Below is an optimized crystal structure of YHoGa2Cu2, with properties calculated at the PBE level.

Results
Magnetization   0.00 μB per formula unit
Energy relative to the lowest polymorph listed for this composition   0.0 meV per atom

a = 4.356 Å, b = 4.356 Å, c = 7.009 Å
α = 90.00°, β = 90.00°, γ = 120.00°
Fractional positions:
Cu  0.667  0.333  0.257
Cu  0.667  0.333  0.743
Ga  0.333  0.667  0.234
Ga  0.333  0.667  0.766
Ho  0.000  0.000  0.000
Y  0.000  0.000  0.500



(4)
Below is an optimized crystal structure of YHoGa4Cu2, with properties calculated at the PBE level.

Results
Magnetization   0.01 μB per formula unit

a = 6.543 Å, b = 5.491 Å, c = 5.491 Å
α = 46.36°, β = 90.00°, γ = 90.00°
Fractional positions:
Cu  0.500  0.299  0.299
Cu  0.000  0.701  0.701
Ga  0.197  0.127  0.127
Ga  0.803  0.127  0.127
Ga  0.302  0.874  0.874
Ga  0.698  0.874  0.874
Ho  0.000  0.410  0.410
Y  0.500  0.589  0.589



(5)
Below is an optimized crystal structure of Ho2Zn3GaCu2, with properties calculated at the PBE level.

Results
Magnetization   0.01 μB per formula unit

a = 5.258 Å, b = 5.258 Å, c = 6.878 Å
α = 90.63°, β = 90.63°, γ = 47.01°
Fractional positions:
Cu  0.215  0.215  0.245
Cu  0.786  0.786  0.758
Ga  0.367  0.367  0.943
Ho  0.922  0.922  0.249
Ho  0.078  0.078  0.746
Zn  0.631  0.631  0.060
Zn  0.637  0.637  0.443
Zn  0.364  0.364  0.556



(6)
Below is an optimized crystal structure of HoZrGa2Cu2, with properties calculated at the PBE level.

Results
Magnetization   0.52 μB per formula unit

a = 4.292 Å, b = 4.292 Å, c = 6.738 Å
α = 90.00°, β = 90.00°, γ = 120.00°
Site moments in Bohr magnetons follow the coordinates.
Fractional positions:
Cu  0.667  0.333  0.292  0.03
Cu  0.667  0.333  0.708  0.02
Ga  0.333  0.667  0.262  0.01
Ga  0.333  0.667  0.738  0.01
Ho  0.000  0.000  0.000  0.13
Zr  0.000  0.000  0.500  0.15



(7)
Below is an optimized crystal structure of HoZrGa2Cu2, with properties calculated at the PBE level.

Results
Magnetization   0.04 μB per formula unit

a = 4.293 Å, b = 4.293 Å, c = 6.707 Å
α = 90.00°, β = 90.00°, γ = 120.00°
Fractional positions:
Cu  0.667  0.333  0.275
Cu  0.667  0.333  0.725
Ga  0.333  0.667  0.278
Ga  0.333  0.667  0.722
Ho  0.000  0.000  0.000
Zr  0.000  0.000  0.500



(8)
Below is an optimized crystal structure of In3GaCu2, with properties calculated at the PBE level.

a = 4.423 Å, b = 4.423 Å, c = 6.281 Å
α = 90.00°, β = 90.00°, γ = 90.00°
Fractional positions:
Cu  0.000  0.500  0.239
Cu  0.500  0.000  0.761
Ga  0.000  0.000  0.000
In  0.500  0.500  0.000
In  0.000  0.000  0.500
In  0.500  0.500  0.500



(9)
Below is an optimized crystal structure of InGa3Cu2, with properties calculated at the PBE level.

a = 4.228 Å, b = 4.228 Å, c = 6.017 Å
α = 90.00°, β = 90.00°, γ = 90.00°
Fractional positions:
Cu  0.000  0.500  0.266
Cu  0.500  0.000  0.734
Ga  0.500  0.500  0.000
Ga  0.000  0.000  0.500
Ga  0.500  0.500  0.500
In  0.000  0.000  0.000



(10)
Below is an optimized crystal structure of InGaCu2, with properties calculated at the PBE level.

a = 6.334 Å, b = 6.334 Å, c = 6.334 Å
α = 90.00°, β = 90.00°, γ = 90.00°
Fractional positions:
Cu  0.269  0.269  0.269
Cu  0.731  0.269  0.269
Cu  0.269  0.731  0.269
Cu  0.731  0.731  0.269
Cu  0.269  0.269  0.731
Cu  0.731  0.269  0.731
Cu  0.269  0.731  0.731
Cu  0.731  0.731  0.731
Ga  0.500  0.500  0.000
Ga  0.500  0.000  0.500
Ga  0.000  0.500  0.500
Ga  0.500  0.500  0.500
In  0.000  0.000  0.000
In  0.500  0.000  0.000
In  0.000  0.500  0.000
In  0.000  0.000  0.500



(11)
Below is an optimized crystal structure of InGaCu2, with properties calculated at the PBE level.

a = 6.335 Å, b = 6.335 Å, c = 6.335 Å
α = 90.00°, β = 90.00°, γ = 90.00°
Fractional positions:
Cu  0.230  0.230  0.230
Cu  0.770  0.230  0.230
Cu  0.230  0.770  0.230
Cu  0.770  0.770  0.230
Cu  0.230  0.230  0.770
Cu  0.770  0.230  0.770
Cu  0.230  0.770  0.770
Cu  0.770  0.770  0.770
Ga  0.000  0.000  0.000
Ga  0.500  0.000  0.000
Ga  0.000  0.500  0.000
Ga  0.000  0.000  0.500
In  0.500  0.500  0.000
In  0.500  0.000  0.500
In  0.000  0.500  0.500
In  0.500  0.500  0.500



(12)
Below is an optimized crystal structure of Li4InGa2Cu, with properties calculated at the PBE level.

a = 4.362 Å, b = 4.362 Å, c = 6.328 Å
α = 90.00°, β = 90.00°, γ = 90.00°
Fractional positions:
Cu  0.000  0.000  0.000
Ga  0.500  0.000  0.219
Ga  0.000  0.500  0.781
In  0.500  0.500  0.500
Li  0.500  0.500  0.000
Li  0.000  0.500  0.226
Li  0.000  0.000  0.500
Li  0.500  0.000  0.774



(13)
Below is an optimized crystal structure of Li2Sc2InGaCu2, with properties calculated at the PBE level.

Results
Magnetization   0.00 μB per formula unit

a = 4.451 Å, b = 4.451 Å, c = 6.311 Å
α = 90.00°, β = 90.00°, γ = 90.00°
Fractional positions:
Cu  0.500  0.000  0.238
Cu  0.000  0.500  0.762
Ga  0.000  0.000  0.000
In  0.500  0.500  0.500
Li  0.000  0.500  0.238
Li  0.500  0.000  0.762
Sc  0.500  0.500  0.000
Sc  0.000  0.000  0.500



(14)
Below is an optimized crystal structure of Li2Y2InGaCu2, with properties calculated at the PBE level.

Results
Magnetization   0.01 μB per formula unit

a = 4.641 Å, b = 4.641 Å, c = 6.566 Å
α = 90.00°, β = 90.00°, γ = 90.00°
Fractional positions:
Cu  0.000  0.500  0.240
Cu  0.500  0.000  0.760
Ga  0.000  0.000  0.000
In  0.500  0.500  0.500
Li  0.500  0.000  0.240
Li  0.000  0.500  0.760
Y  0.500  0.500  0.000
Y  0.000  0.000  0.500



(15)
Below is an optimized crystal structure of InGaCu2Se4, with properties calculated at the PBE level.

a = 5.774 Å, b = 5.775 Å, c = 7.055 Å
α = 65.85°, β = 65.85°, γ = 90.00°
Fractional positions:
Cu  0.434  0.033  0.423
Cu  0.684  0.783  0.923
Ga  0.184  0.283  0.923
In  0.934  0.533  0.423
Se  0.797  0.928  0.161
Se  0.333  0.400  0.161
Se  0.539  0.134  0.684
Se  0.067  0.670  0.685



(16)
Below is an optimized crystal structure of GaCuIr, with properties calculated at the PBE level.

Results
Magnetization   0.00 μB per formula unit

a = 4.126 Å, b = 4.126 Å, c = 4.126 Å
α = 60.00°, β = 60.00°, γ = 60.00°
Fractional positions:
Cu  0.250  0.250  0.250
Ga  0.750  0.750  0.750
Ir  0.000  0.000  0.000



(17)
Below is an optimized crystal structure of LaGa2CuIr, with properties calculated at the PBE level.

Results
Magnetization   0.00 μB per formula unit
Energy relative to the lowest polymorph listed for this composition   72.7 meV per atom

a = 5.963 Å, b = 5.963 Å, c = 5.963 Å
α = 137.68°, β = 137.68°, γ = 61.40°
Fractional positions:
Cu  0.000  0.000  0.000
Ga  0.622  0.122  0.500
Ga  0.878  0.378  0.500
Ir  0.500  0.500  0.000
La  0.250  0.750  0.500



(18)
Below is an optimized crystal structure of LaGa2CuIr, with properties calculated at the PBE level.

Results
Magnetization   0.01 μB per formula unit
Energy relative to the lowest polymorph listed for this composition   0.0 meV per atom

a = 4.311 Å, b = 4.311 Å, c = 10.102 Å
α = 90.00°, β = 90.00°, γ = 90.00°
Fractional positions:
Cu  0.000  0.500  0.371
Cu  0.500  0.000  0.629
Ga  0.000  0.500  0.128
Ga  0.000  0.000  0.500
Ga  0.500  0.500  0.500
Ga  0.500  0.000  0.872
Ir  0.000  0.000  0.000
Ir  0.500  0.500  0.000
La  0.500  0.000  0.244
La  0.000  0.500  0.756



(19)
Below is an optimized crystal structure of LaGa5CuIr, with properties calculated at the PBE level.

Results
Magnetization   0.00 μB per formula unit

a = 6.463 Å, b = 6.463 Å, c = 6.463 Å
α = 143.00°, β = 112.88°, γ = 79.20°
Fractional positions:
Cu  0.247  0.247  0.000
Ga  0.010  0.010  0.000
Ga  0.950  0.643  0.307
Ga  0.656  0.349  0.307
Ga  0.042  0.349  0.693
Ga  0.337  0.643  0.693
Ir  0.765  0.765  0.000
La  0.495  0.995  0.500



(20)
Below is an optimized crystal structure of Li4Ga2CuIr, with properties calculated at the PBE level.

Results
Magnetization   0.00 μB per formula unit

a = 4.241 Å, b = 4.241 Å, c = 5.995 Å
α = 90.00°, β = 90.00°, γ = 90.00°
Fractional positions:
Cu  0.000  0.000  0.500
Ga  0.000  0.500  0.240
Ga  0.500  0.000  0.760
Ir  0.500  0.500  0.000
Li  0.000  0.000  0.000
Li  0.500  0.000  0.255
Li  0.500  0.500  0.500
Li  0.000  0.500  0.745



For each record above, in turn, the calculated energy values are -4.774 -4.354 -4.608 -4.331 -3.303 -4.913 -4.915 -3.119 -3.257 -3.218 -3.218 -2.809 -4.080 -4.112 -3.855 -5.182 -5.237 -5.309 -4.555 -3.625 eV per atom.